Record 1
# LaSm2Sc2

LaSm2Sc2 after structural relaxation (PBE, Alexandria).

Unit cell a=6.0100 b=7.0729 c=11.6334 alpha=40.55 beta=109.89 gamma=106.96
Atoms (fractional coordinates):
Sc  0.5938  0.6592  0.1915
Sm  0.2114  0.5460  0.4056
La  0.9998  0.7500  0.0000
Sc  0.5940  0.1592  0.1915
Sm  0.7886  0.4540  0.5944
Sc  0.4060  0.8408  0.8085
Sm  0.2114  0.0459  0.4056
Sm  0.7886  0.9541  0.5944
Sc  0.4062  0.3408  0.8085
La  0.0002  0.2500  0.0000

**E**: -5.348 eV/atom
**Total moment**: 0.000 μB/f.u.
**Energy of formation from the pure elements**: 58 meV per atom

***

Record 2
# Pr2TcN

Pr2TcN after structural relaxation (PBE, Alexandria).

Unit cell a=3.4618 b=3.4618 c=8.7413 alpha=78.58 beta=78.58 gamma=60.00
Atoms (fractional coordinates):
Tc  0.0000  0.0000  0.0000
Pr  0.1087  0.1087  0.6740
Pr  0.8913  0.8913  0.3260
N  0.5000  0.5000  0.5000

**E**: -6.931 eV/atom
**Total moment**: 1.168 μB/f.u.
**ΔE_f (raw)**: 0.132 eV/atom

***

Record 3
# Li2CaHRh

Li2CaHRh after structural relaxation (PBE, Alexandria).

Unit cell a=4.2029 b=4.2029 c=4.0648 alpha=90.00 beta=90.00 gamma=90.00
Atoms (fractional coordinates):
Li  0.5000  0.0000  0.0000
Rh  0.0000  0.0000  0.5000
Li  0.0000  0.5000  0.0000
H  0.0000  0.0000  0.0000
Ca  0.5000  0.5000  0.5000

**E**: -3.470 eV/atom
**Total moment**: 0.000 μB/f.u.
**ΔE to the lowest computed polymorph**: 32 meV/atom

***

Record 4
# Li3Ca5

Li3Ca5 after structural relaxation (PBE, Alexandria).

Unit cell a=3.9826 b=3.9826 c=17.1389 alpha=90.00 beta=90.00 gamma=90.00
Atoms (fractional coordinates):
Ca  0.5000  0.5000  0.3862
Ca  0.5000  0.5000  0.6138
Ca  0.0000  0.0000  0.2289
Li  0.0000  0.0000  0.5000
Ca  0.0000  0.0000  0.7711
Ca  0.0000  0.0000  0.0000
Li  0.5000  0.5000  0.1160
Li  0.5000  0.5000  0.8840

**E**: -1.954 eV/atom
**Total moment**: 0.000 μB/f.u.
**ΔE to the lowest computed polymorph**: 0 meV/atom
**Energy of formation from the pure elements**: 14 meV per atom

***

What is the total moment in the third record? 0.000 μB/f.u.